Material: HfZrNpAl
Method: DFT, PBE
State: relaxed

abc: 4.921 4.921 4.921
angles: 60.00 60.00 60.00
Each line ends with the local moment (μB).
Sites, in units of the cell vectors:
Al (0.500, 0.500, 0.500)  -0.05
Zr (0.750, 0.750, 0.750)  0.23
Hf (0.250, 0.250, 0.250)  0.29
Np (0.000, 0.000, 0.000)  3.81

Its volume is 21.1 A^3/atom. The total magnetization comes out at 1.141 μB/atom. The value obtained for the raw total energy is -34.587 eV for the cell shown.